! PrPuRh2 (PBE, relaxed); values from VASP
! * Fermi-level density of states: 11.4 states/eV/cell
! * SG: P4/mmm, No. 123
! * total moment: 4.76 μB per formula unit
! * energy of formation: -0.482 eV/atom
&SYSTEM
  ibrav = 0, nat = 4, ntyp = 3
/
ATOMIC_SPECIES
Pr 140.91 Pr.upf
Pu 244.00 Pu.upf
Rh 102.91 Rh.upf
ATOMIC_POSITIONS crystal
Pr 0.0000 0.0000 0.0000
Pu 0.0000 0.0000 0.5000
Rh 0.5000 0.5000 0.2759
Rh 0.5000 0.5000 0.7241
CELL_PARAMETERS angstrom
3.4595 0.0000 0.0000
0.0000 3.4595 0.0000
0.0000 0.0000 7.1516